[1]
# Dy2PuOs2 (PBE, relaxed)
# Mass density = 14.1 Mg/m³
# VASP energy = -9.44 eV per atom
# Space group = C2/c (15)
# Formation energy from the elements = -0.238 eV per atom
data_Dy2PuOs2
_space_group_name_H-M_alt 'P 1'
_space_group_IT_number 1
_cell_length_a 5.7637
_cell_length_b 5.7637
_cell_length_c 7.9549
_cell_angle_alpha 100.56
_cell_angle_beta 100.56
_cell_angle_gamma 59.79
loop_
_space_group_symop_operation_xyz
'x,y,z'
loop_
_atom_site_label
_atom_site_type_symbol
_atom_site_fract_x
_atom_site_fract_y
_atom_site_fract_z
_atom_site_occupancy
Dy1 Dy 0.0126 0.2890 0.1502 1
Dy2 Dy 0.2890 0.0126 0.6502 1
Dy3 Dy 0.7110 0.9874 0.3498 1
Dy4 Dy 0.9874 0.7110 0.8498 1
Pu1 Pu 0.3595 0.6405 0.2500 1
Pu2 Pu 0.6405 0.3595 0.7500 1
Os1 Os 0.2224 0.5068 0.4929 1
Os2 Os 0.4932 0.7776 0.0071 1
Os3 Os 0.5068 0.2224 0.9929 1
Os4 Os 0.7776 0.4932 0.5071 1



[2]
# RbOs2Pt (PBE, relaxed)
# Mass density = 10.6 Mg/m³
# VASP energy = -6.05 eV per atom
# Space group = I-42d (122)
# Distance to the lowest polymorph of the same formula = 0 meV/atom
# Formation energy from the elements = 1.314 eV per atom
data_RbOs2Pt
_space_group_name_H-M_alt 'P 1'
_space_group_IT_number 1
_cell_length_a 4.7627
_cell_length_b 4.7627
_cell_length_c 18.3314
_cell_angle_alpha 90.00
_cell_angle_beta 90.00
_cell_angle_gamma 90.00
loop_
_space_group_symop_operation_xyz
'x,y,z'
loop_
_atom_site_label
_atom_site_type_symbol
_atom_site_fract_x
_atom_site_fract_y
_atom_site_fract_z
_atom_site_occupancy
Rb1 Rb 0.0000 0.0000 0.0000 1
Rb2 Rb 0.0000 0.5000 0.2500 1
Rb3 Rb 0.5000 0.0000 0.7500 1
Rb4 Rb 0.5000 0.5000 0.5000 1
Os1 Os 0.0475 0.2500 0.6250 1
Os2 Os 0.2500 0.5475 0.8750 1
Os3 Os 0.2500 0.9525 0.3750 1
Os4 Os 0.4525 0.2500 0.1250 1
Os5 Os 0.5475 0.7500 0.1250 1
Os6 Os 0.7500 0.0475 0.3750 1
Os7 Os 0.7500 0.4525 0.8750 1
Os8 Os 0.9525 0.7500 0.6250 1
Pt1 Pt 0.0000 0.0000 0.5000 1
Pt2 Pt 0.0000 0.5000 0.7500 1
Pt3 Pt 0.5000 0.0000 0.2500 1
Pt4 Pt 0.5000 0.5000 0.0000 1



[3]
# GeH3F (PBE, relaxed)
# Mass density = 3.8 Mg/m³
# VASP energy = -2.47 eV per atom
# Space group = Pm-3m (221)
# Distance to the lowest polymorph of the same formula = 1395 meV/atom
data_GeH3F
_space_group_name_H-M_alt 'P 1'
_space_group_IT_number 1
_cell_length_a 3.4681
_cell_length_b 3.4681
_cell_length_c 3.4681
_cell_angle_alpha 90.00
_cell_angle_beta 90.00
_cell_angle_gamma 90.00
loop_
_space_group_symop_operation_xyz
'x,y,z'
loop_
_atom_site_label
_atom_site_type_symbol
_atom_site_fract_x
_atom_site_fract_y
_atom_site_fract_z
_atom_site_occupancy
Ge1 Ge 0.0000 0.0000 0.0000 1
H1 H 0.0000 0.5000 0.5000 1
H2 H 0.5000 0.0000 0.5000 1
H3 H 0.5000 0.5000 0.0000 1
F1 F 0.5000 0.5000 0.5000 1



[4]
# VCo23Pt6 (PBE, relaxed)
# Mass density = 11.6 Mg/m³
# VASP energy = -6.94 eV per atom
# Space group = Fm-3m (225)
# Formation energy from the elements = 0.018 eV per atom
data_VCo23Pt6
_space_group_name_H-M_alt 'P 1'
_space_group_IT_number 1
_cell_length_a 8.0397
_cell_length_b 8.0397
_cell_length_c 8.0397
_cell_angle_alpha 60.00
_cell_angle_beta 60.00
_cell_angle_gamma 60.00
loop_
_space_group_symop_operation_xyz
'x,y,z'
loop_
_atom_site_label
_atom_site_type_symbol
_atom_site_fract_x
_atom_site_fract_y
_atom_site_fract_z
_atom_site_occupancy
V1 V 0.0000 0.0000 0.0000 1
Co1 Co 0.0000 0.0000 0.5000 1
Co2 Co 0.0000 0.5000 0.0000 1
Co3 Co 0.0000 0.5000 0.5000 1
Co4 Co 0.1390 0.6203 0.6203 1
Co5 Co 0.1701 0.1701 0.1701 1
Co6 Co 0.1701 0.1701 0.4897 1
Co7 Co 0.1701 0.4897 0.1701 1
Co8 Co 0.3797 0.3797 0.3797 1
Co9 Co 0.3797 0.3797 0.8610 1
Co10 Co 0.3797 0.8610 0.3797 1
Co11 Co 0.4897 0.1701 0.1701 1
Co12 Co 0.5000 0.0000 0.0000 1
Co13 Co 0.5000 0.0000 0.5000 1
Co14 Co 0.5000 0.5000 0.0000 1
Co15 Co 0.5000 0.5000 0.5000 1
Co16 Co 0.5103 0.8299 0.8299 1
Co17 Co 0.6203 0.1390 0.6203 1
Co18 Co 0.6203 0.6203 0.1390 1
Co19 Co 0.6203 0.6203 0.6203 1
Co20 Co 0.8299 0.5103 0.8299 1
Co21 Co 0.8299 0.8299 0.5103 1
Co22 Co 0.8299 0.8299 0.8299 1
Co23 Co 0.8610 0.3797 0.3797 1
Pt1 Pt 0.2229 0.2229 0.7771 1
Pt2 Pt 0.2229 0.7771 0.2229 1
Pt3 Pt 0.2229 0.7771 0.7771 1
Pt4 Pt 0.7771 0.2229 0.2229 1
Pt5 Pt 0.7771 0.2229 0.7771 1
Pt6 Pt 0.7771 0.7771 0.2229 1



[5]
# SrSc2Ta (PBE, relaxed)
# Mass density = 5.9 Mg/m³
# VASP energy = -5.94 eV per atom
# Space group = I4/mmm (139)
# Distance to the lowest polymorph of the same formula = 287 meV/atom
# Formation energy from the elements = 0.605 eV per atom
data_SrSc2Ta
_space_group_name_H-M_alt 'P 1'
_space_group_IT_number 1
_cell_length_a 4.8329
_cell_length_b 4.8329
_cell_length_c 8.5982
_cell_angle_alpha 90.00
_cell_angle_beta 90.00
_cell_angle_gamma 90.00
loop_
_space_group_symop_operation_xyz
'x,y,z'
loop_
_atom_site_label
_atom_site_type_symbol
_atom_site_fract_x
_atom_site_fract_y
_atom_site_fract_z
_atom_site_occupancy
Sr1 Sr 0.0000 0.0000 0.0000 1
Sr2 Sr 0.5000 0.5000 0.5000 1
Sc1 Sc 0.0000 0.5000 0.2500 1
Sc2 Sc 0.0000 0.5000 0.7500 1
Sc3 Sc 0.5000 0.0000 0.2500 1
Sc4 Sc 0.5000 0.0000 0.7500 1
Ta1 Ta 0.0000 0.0000 0.5000 1
Ta2 Ta 0.5000 0.5000 0.0000 1



[6]
# Cs3Mg2CdBr9 (PBE, relaxed)
# Mass density = 4.2 Mg/m³
# VASP energy = -2.92 eV per atom
# Space group = P-3m1 (164)
data_Cs3Mg2CdBr9
_space_group_name_H-M_alt 'P 1'
_space_group_IT_number 1
_cell_length_a 7.7811
_cell_length_b 7.7811
_cell_length_c 9.5336
_cell_angle_alpha 90.00
_cell_angle_beta 90.00
_cell_angle_gamma 120.00
loop_
_space_group_symop_operation_xyz
'x,y,z'
loop_
_atom_site_label
_atom_site_type_symbol
_atom_site_fract_x
_atom_site_fract_y
_atom_site_fract_z
_atom_site_occupancy
Cs1 Cs 0.0000 0.0000 0.0000 1
Cs2 Cs 0.3333 0.6667 0.6648 1
Cs3 Cs 0.6667 0.3333 0.3352 1
Mg1 Mg 0.3333 0.6667 0.1609 1
Mg2 Mg 0.6667 0.3333 0.8391 1
Cd1 Cd 0.0000 0.0000 0.5000 1
Br1 Br 0.0000 0.5000 0.0000 1
Br2 Br 0.1699 0.3398 0.3283 1
Br3 Br 0.1699 0.8301 0.3283 1
Br4 Br 0.3398 0.1699 0.6717 1
Br5 Br 0.5000 0.0000 0.0000 1
Br6 Br 0.5000 0.5000 0.0000 1
Br7 Br 0.6602 0.8301 0.3283 1
Br8 Br 0.8301 0.1699 0.6717 1
Br9 Br 0.8301 0.6602 0.6717 1



[7]
# BaSrMg2 (PBE, relaxed)
# Mass density = 2.9 Mg/m³
# VASP energy = -1.72 eV per atom
# Space group = Cm (8)
# Distance to the lowest polymorph of the same formula = 42 meV/atom
# Formation energy from the elements = -0.018 eV per atom
data_BaSrMg2
_space_group_name_H-M_alt 'P 1'
_space_group_IT_number 1
_cell_length_a 13.3349
_cell_length_b 4.1385
_cell_length_c 6.1664
_cell_angle_alpha 90.00
_cell_angle_beta 113.42
_cell_angle_gamma 90.00
loop_
_space_group_symop_operation_xyz
'x,y,z'
loop_
_atom_site_label
_atom_site_type_symbol
_atom_site_fract_x
_atom_site_fract_y
_atom_site_fract_z
_atom_site_occupancy
Ba1 Ba 0.0000 0.0000 0.0000 1
Ba2 Ba 0.5000 0.5000 0.0000 1
Sr1 Sr 0.2964 0.5000 0.3276 1
Sr2 Sr 0.7964 0.0000 0.3276 1
Mg1 Mg 0.0533 0.5000 0.5449 1
Mg2 Mg 0.2395 0.0000 0.7742 1
Mg3 Mg 0.5533 0.0000 0.5449 1
Mg4 Mg 0.7395 0.5000 0.7742 1



[8]
# Mg3GeAu (PBE, relaxed)
# Mass density = 4.6 Mg/m³
# VASP energy = -2.48 eV per atom
# Space group = Pm-3m (221)
# Distance to the lowest polymorph of the same formula = 4 meV/atom
# Formation energy from the elements = 0.055 eV per atom
data_Mg3GeAu
_space_group_name_H-M_alt 'P 1'
_space_group_IT_number 1
_cell_length_a 4.9815
_cell_length_b 4.9815
_cell_length_c 4.9815
_cell_angle_alpha 90.00
_cell_angle_beta 90.00
_cell_angle_gamma 90.00
loop_
_space_group_symop_operation_xyz
'x,y,z'
loop_
_atom_site_label
_atom_site_type_symbol
_atom_site_fract_x
_atom_site_fract_y
_atom_site_fract_z
_atom_site_occupancy
Mg1 Mg 0.0000 0.0000 0.5000 1
Mg2 Mg 0.0000 0.5000 0.0000 1
Mg3 Mg 0.5000 0.0000 0.0000 1
Ge1 Ge 0.0000 0.0000 0.0000 1
Au1 Au 0.5000 0.5000 0.5000 1



[9]
# PuIn2Hg4 (PBE, relaxed)
# Mass density = 11.5 Mg/m³
# VASP energy = -3.11 eV per atom
# Space group = P4/mmm (123)
# Distance to the lowest polymorph of the same formula = 0 meV/atom
# Formation energy from the elements = -0.103 eV per atom
data_PuIn2Hg4
_space_group_name_H-M_alt 'P 1'
_space_group_IT_number 1
_cell_length_a 5.0040
_cell_length_b 5.0040
_cell_length_c 7.3868
_cell_angle_alpha 90.00
_cell_angle_beta 90.00
_cell_angle_gamma 90.00
loop_
_space_group_symop_operation_xyz
'x,y,z'
loop_
_atom_site_label
_atom_site_type_symbol
_atom_site_fract_x
_atom_site_fract_y
_atom_site_fract_z
_atom_site_occupancy
Pu1 Pu 0.0000 0.0000 0.0000 1
In1 In 0.0000 0.0000 0.5000 1
In2 In 0.5000 0.5000 0.0000 1
Hg1 Hg 0.0000 0.5000 0.2728 1
Hg2 Hg 0.0000 0.5000 0.7272 1
Hg3 Hg 0.5000 0.0000 0.2728 1
Hg4 Hg 0.5000 0.0000 0.7272 1



[10]
# RbAcSn (PBE, relaxed)
# Mass density = 5.2 Mg/m³
# VASP energy = -3.16 eV per atom
# Space group = I4mm (107)
# Distance to the lowest polymorph of the same formula = 0 meV/atom
# Formation energy from the elements = -0.129 eV per atom
data_RbAcSn
_space_group_name_H-M_alt 'P 1'
_space_group_IT_number 1
_cell_length_a 3.9875
_cell_length_b 3.9875
_cell_length_c 17.4198
_cell_angle_alpha 90.00
_cell_angle_beta 90.00
_cell_angle_gamma 90.00
loop_
_space_group_symop_operation_xyz
'x,y,z'
loop_
_atom_site_label
_atom_site_type_symbol
_atom_site_fract_x
_atom_site_fract_y
_atom_site_fract_z
_atom_site_occupancy
Rb1 Rb 0.0000 0.0000 0.0000 1
Rb2 Rb 0.5000 0.5000 0.5000 1
Ac1 Ac 0.0000 0.0000 0.2615 1
Ac2 Ac 0.5000 0.5000 0.7615 1
Sn1 Sn 0.0000 0.0000 0.6489 1
Sn2 Sn 0.5000 0.5000 0.1489 1



[11]
# Cs2CrGaTe4 (PBE, relaxed)
# Mass density = 4.4 Mg/m³
# VASP energy = -3.96 eV per atom
# Space group = Fddd (70)
data_Cs2CrGaTe4
_space_group_name_H-M_alt 'P 1'
_space_group_IT_number 1
_cell_length_a 15.3057
_cell_length_b 13.8646
_cell_length_c 8.1148
_cell_angle_alpha 83.93
_cell_angle_beta 64.26
_cell_angle_gamma 31.82
loop_
_space_group_symop_operation_xyz
'x,y,z'
loop_
_atom_site_label
_atom_site_type_symbol
_atom_site_fract_x
_atom_site_fract_y
_atom_site_fract_z
_atom_site_occupancy
Cs1 Cs 0.0569 0.0569 0.6931 1
Cs2 Cs 0.3069 0.3069 0.9431 1
Cs3 Cs 0.6931 0.6931 0.0569 1
Cs4 Cs 0.9431 0.9431 0.3069 1
Cr1 Cr 0.1250 0.1250 0.1250 1
Cr2 Cr 0.8750 0.8750 0.8750 1
Ga1 Ga 0.3750 0.3750 0.3750 1
Ga2 Ga 0.6250 0.6250 0.6250 1
Te1 Te 0.0237 0.3357 0.4122 1
Te2 Te 0.2715 0.5878 0.6643 1
Te3 Te 0.3357 0.0237 0.7285 1
Te4 Te 0.4122 0.7285 0.0237 1
Te5 Te 0.5878 0.2715 0.9763 1
Te6 Te 0.6643 0.9763 0.2715 1
Te7 Te 0.7285 0.4122 0.3357 1
Te8 Te 0.9763 0.6643 0.5878 1



[12]
# CsNa3O (PBE, relaxed)
# Mass density = 1.1 Mg/m³
# VASP energy = -1.00 eV per atom
# Space group = Pm-3m (221)
# Distance to the lowest polymorph of the same formula = 1284 meV/atom
data_CsNa3O
_space_group_name_H-M_alt 'P 1'
_space_group_IT_number 1
_cell_length_a 6.8612
_cell_length_b 6.8612
_cell_length_c 6.8612
_cell_angle_alpha 90.00
_cell_angle_beta 90.00
_cell_angle_gamma 90.00
loop_
_space_group_symop_operation_xyz
'x,y,z'
loop_
_atom_site_label
_atom_site_type_symbol
_atom_site_fract_x
_atom_site_fract_y
_atom_site_fract_z
_atom_site_occupancy
Cs1 Cs 0.0000 0.0000 0.0000 1
Na1 Na 0.0000 0.0000 0.5000 1
Na2 Na 0.0000 0.5000 0.0000 1
Na3 Na 0.5000 0.0000 0.0000 1
O1 O 0.5000 0.5000 0.5000 1



[13]
# GeB2F8 (PBE, relaxed)
# Mass density = 2.6 Mg/m³
# VASP energy = -5.57 eV per atom
# Space group = C2/m (12)
data_GeB2F8
_space_group_name_H-M_alt 'P 1'
_space_group_IT_number 1
_cell_length_a 5.9029
_cell_length_b 5.9029
_cell_length_c 5.1966
_cell_angle_alpha 102.50
_cell_angle_beta 102.50
_cell_angle_gamma 62.47
loop_
_space_group_symop_operation_xyz
'x,y,z'
loop_
_atom_site_label
_atom_site_type_symbol
_atom_site_fract_x
_atom_site_fract_y
_atom_site_fract_z
_atom_site_occupancy
Ge1 Ge 0.0000 0.0000 0.0000 1
B1 B 0.1988 0.1988 0.6760 1
B2 B 0.8012 0.8012 0.3240 1
F1 F 0.0509 0.6796 0.2350 1
F2 F 0.1624 0.1624 0.3888 1
F3 F 0.3204 0.9491 0.7650 1
F4 F 0.3379 0.3379 0.7720 1
F5 F 0.6621 0.6621 0.2280 1
F6 F 0.6796 0.0509 0.2350 1
F7 F 0.8376 0.8376 0.6112 1
F8 F 0.9491 0.3204 0.7650 1



[14]
# TaCo2TcH (PBE, relaxed)
# Mass density = 12.1 Mg/m³
# VASP energy = -8.11 eV per atom
# Space group = P4/mmm (123)
# Distance to the lowest polymorph of the same formula = 0 meV/atom
data_TaCo2TcH
_space_group_name_H-M_alt 'P 1'
_space_group_IT_number 1
_cell_length_a 3.7408
_cell_length_b 3.7408
_cell_length_c 3.9069
_cell_angle_alpha 90.00
_cell_angle_beta 90.00
_cell_angle_gamma 90.00
loop_
_space_group_symop_operation_xyz
'x,y,z'
loop_
_atom_site_label
_atom_site_type_symbol
_atom_site_fract_x
_atom_site_fract_y
_atom_site_fract_z
_atom_site_occupancy
Ta1 Ta 0.0000 0.0000 0.0000 1
Co1 Co 0.0000 0.5000 0.5000 1
Co2 Co 0.5000 0.0000 0.5000 1
Tc1 Tc 0.5000 0.5000 0.0000 1
H1 H 0.5000 0.5000 0.5000 1